Record 1
Np2BiPt2: optimized geometry, PBE-GGA.

Properties
magnetization: 1.50 μB per atom
calculated formation energy: -443 meV per atom

a = 7.927 Å, b = 7.927 Å, c = 3.658 Å
α = 90.00°, β = 90.00°, γ = 90.00°
Sites, in units of the cell vectors:
1 Np 0.174 0.326 0.000
2 Np 0.326 0.826 0.000
3 Np 0.674 0.174 0.000
4 Np 0.826 0.674 0.000
5 Bi 0.000 0.000 0.500
6 Bi 0.500 0.500 0.500
7 Pt 0.126 0.626 0.500
8 Pt 0.374 0.126 0.500
9 Pt 0.626 0.874 0.500
10 Pt 0.874 0.374 0.500

---

Record 2
CdNiIr2: optimized geometry, PBE-GGA.

Properties
magnetization: 0.00 μB per atom
calculated formation energy: 310 meV per atom

a = 5.337 Å, b = 5.337 Å, c = 5.337 Å
α = 149.12°, β = 128.63°, γ = 61.15°
Sites, in units of the cell vectors:
1 Cd 0.000 0.000 0.000
2 Ni 0.747 0.247 0.500
3 Ir 0.275 0.775 0.500
4 Ir 0.517 0.517 0.000

---

Record 3
MgAlBr: optimized geometry, PBE-GGA.

Properties
magnetization: 0.00 μB per atom
energy above the lowest structure with this stoichiometry: 0.0 meV/atom
ΔE_f (raw): -0.782 eV/f.u.

a = 16.337 Å, b = 3.483 Å, c = 3.483 Å
α = 60.07°, β = 90.00°, γ = 90.00°
Sites, in units of the cell vectors:
1 Mg 0.000 0.000 0.000
2 Mg 0.500 0.240 0.240
3 Al 0.361 0.906 0.906
4 Al 0.639 0.906 0.906
5 Br 0.105 0.334 0.334
6 Br 0.895 0.334 0.334